[1]
K2Tl6SnHg, relaxed, DFT PBE-GGA; N(E_F) = 4.7 states/eV/f.u.; energy of formation from the pure elements = 0.00 eV/atom; E_tot = -41.3 eV/cell
1.0
8.209 0.000 0.000
4.104 7.109 0.000
4.104 2.370 13.266
Tl Sn K Hg
12 2 4 2
Direct
0.605 0.605 0.660 Tl
0.605 0.130 0.660 Tl
0.193 0.809 0.805 Tl
0.395 0.870 0.340 Tl
0.870 0.395 0.340 Tl
0.807 0.807 0.195 Tl
0.193 0.193 0.805 Tl
0.807 0.191 0.195 Tl
0.130 0.605 0.660 Tl
0.395 0.395 0.340 Tl
0.191 0.807 0.195 Tl
0.809 0.193 0.805 Tl
0.617 0.617 0.150 Sn
0.383 0.383 0.850 Sn
0.706 0.706 0.883 K
0.851 0.851 0.447 K
0.149 0.149 0.553 K
0.294 0.294 0.117 K
0.000 0.000 0.000 Hg
0.500 0.500 0.500 Hg

=====

[2]
Re2Sb2Rh, relaxed, DFT PBE-GGA; N(E_F) = 5.4 states/eV/f.u.; E_tot = -75.1 eV/cell; energy relative to the elements, uncorrected = 56.96 kJ/mol of atoms; polymorph energy (0 for the lowest one) = 0.000 eV/atom
1.0
-1.145 -6.575 -3.095
6.995 -1.846 1.335
-0.896 -1.244 2.974
Sb Re Rh
4 4 2
Direct
0.169 0.669 0.500 Sb
0.331 0.169 0.500 Sb
0.831 0.331 0.500 Sb
0.669 0.831 0.500 Sb
0.630 0.130 0.000 Re
0.370 0.870 0.000 Re
0.130 0.370 0.000 Re
0.870 0.630 0.000 Re
0.000 0.000 0.000 Rh
0.500 0.500 0.000 Rh

=====

[3]
PrTcH3, relaxed, DFT PBE-GGA; N(E_F) = 2.0 states/eV/f.u.; E_tot = -26.8 eV/cell
1.0
3.759 0.000 0.000
0.000 3.759 0.000
0.000 0.000 3.759
H Pr Tc
3 1 1
Direct
0.000 0.500 0.000 H
0.500 0.000 0.000 H
0.000 0.000 0.500 H
0.500 0.500 0.500 Pr
0.000 0.000 0.000 Tc

=====

[4]
YHo2Sc3S6, relaxed, DFT PBE-GGA; N(E_F) = 5.6 states/eV/f.u.; E_tot = -82.4 eV/cell; energy relative to the elements, uncorrected = -185.25 kJ/mol of atoms
1.0
6.576 -0.011 0.001
-3.296 5.690 0.001
-1.093 -1.893 6.203
Sc Y S Ho
3 1 6 2
Direct
0.834 0.166 0.500 Sc
0.166 0.834 0.500 Sc
0.500 0.500 0.500 Sc
0.000 0.000 0.000 Y
0.247 0.247 0.735 S
0.424 0.088 0.265 S
0.088 0.424 0.265 S
0.753 0.753 0.265 S
0.576 0.912 0.735 S
0.912 0.576 0.735 S
0.334 0.666 0.000 Ho
0.666 0.334 0.000 Ho

=====

[5]
KSb3Pb, relaxed, DFT PBE-GGA; N(E_F) = 7.0 states/eV/f.u.; E_tot = -14.9 eV/cell; energy relative to the elements, uncorrected = 43.55 kJ/mol of atoms
1.0
5.921 0.000 0.000
0.000 5.921 0.000
0.000 0.000 5.921
Sb K Pb
3 1 1
Direct
0.000 0.000 0.500 Sb
0.000 0.500 0.000 Sb
0.500 0.000 0.000 Sb
0.500 0.500 0.500 K
0.000 0.000 0.000 Pb

=====

[6]
TbPmEu2, relaxed, DFT PBE-GGA; N(E_F) = 5.8 states/eV/f.u.; energy of formation from the pure elements = 0.22 eV/atom; E_tot = -29.0 eV/cell; polymorph energy (0 for the lowest one) = 0.115 eV/atom
1.0
3.603 0.000 0.000
1.801 3.120 0.000
1.801 1.040 13.019
Eu Tb Pm
2 1 1
Direct
0.087 0.087 0.740 Eu
0.913 0.913 0.260 Eu
0.000 0.000 0.000 Tb
0.500 0.500 0.500 Pm

=====

[7]
PmGa2Sb, relaxed, DFT PBE-GGA; N(E_F) = 1.2 states/eV/f.u.; E_tot = -16.1 eV/cell; energy relative to the elements, uncorrected = -29.20 kJ/mol of atoms; polymorph energy (0 for the lowest one) = 0.242 eV/atom
1.0
-1.771 3.882 -2.138
-3.279 -0.456 -3.438
-5.300 1.375 1.559
Ga Pm Sb
2 1 1
Direct
0.276 0.276 0.173 Ga
0.724 0.724 0.827 Ga
0.500 0.500 0.500 Pm
0.000 0.000 0.000 Sb

=====

[8]
CdCu3, relaxed, DFT PBE-GGA; N(E_F) = 1.2 states/eV/f.u.; energy of formation from the pure elements = 0.10 eV/atom; E_tot = -12.8 eV/cell
1.0
2.819 0.000 0.000
0.000 4.374 0.000
0.000 0.000 4.619
Cd Cu
1 3
Direct
0.000 0.000 0.994 Cd
0.000 0.500 0.359 Cu
0.500 0.500 0.821 Cu
0.500 0.000 0.492 Cu

=====

The highest N(E_F) belongs to which entry?
KSb3Pb

=====

Which of these has the lowest E_tot?
YHo2Sc3S6

=====

The lowest E_tot belongs to which entry?
YHo2Sc3S6